# 1
## SiPt3Rh (PBE-GGA)

Data for a relaxed SiPt3Rh crystal.

abc: 4.4781 4.4781 4.4781
angles: 90.00 90.00 90.00
Closest atoms and distances in Å follow each position.
Atoms (fractional coordinates):
Pt (0.5000, 0.0000, 0.0000)  2 Si 2.24
Rh (0.5000, 0.5000, 0.5000)  12 Pt 3.17
Pt (0.0000, 0.0000, 0.5000)  2 Si 2.24
Pt (0.0000, 0.5000, 0.0000)  2 Si 2.24
Si (0.0000, 0.0000, 0.0000)  6 Pt 2.24

Summary:
- Relative energy among the computed polymorphs: 0 meV per atom
- Space group: No. 221
- E: -5.71 eV/atom


# 2
## Si2Pt3Rh (PBE-GGA)

Data for a relaxed Si2Pt3Rh crystal.

abc: 3.9081 6.0139 7.4508
angles: 90.00 90.00 90.00
Closest atoms and distances in Å follow each position.
Atoms (fractional coordinates):
Pt (0.0000, 0.8614, 0.6781)  4 Si 2.36-2.50
Pt (0.0000, 0.9736, 0.0936)  3 Si 2.44-2.54
Si (0.5000, 0.7363, 0.8603)  6 Pt 2.39-2.54, 1 Rh 2.43
Rh (0.5000, 0.5268, 0.5816)  3 Si 2.43-2.55
Pt (0.0000, 0.4736, 0.9064)  3 Si 2.44-2.54
Si (0.5000, 0.2363, 0.1397)  6 Pt 2.39-2.54, 1 Rh 2.43
Pt (0.5000, 0.1427, 0.8276)  4 Si 2.39-2.55
Si (0.0000, 0.2593, 0.6281)  5 Pt 2.36-2.55, 2 Rh 2.55
Si (0.0000, 0.7593, 0.3719)  5 Pt 2.36-2.55, 2 Rh 2.55
Pt (0.0000, 0.3614, 0.3219)  4 Si 2.36-2.50
Pt (0.5000, 0.6427, 0.1724)  4 Si 2.39-2.55
Rh (0.5000, 0.0268, 0.4184)  3 Si 2.43-2.55

Summary:
- Space group: No. 26
- E: -6.74 eV/atom


# 3
## SiPtRh4 (PBE-GGA)

Data for a relaxed SiPtRh4 crystal.

abc: 5.0786 5.0786 5.0786
angles: 60.00 60.00 60.00
Closest atoms and distances in Å follow each position.
Atoms (fractional coordinates):
Rh (0.8752, 0.3749, 0.3749)  6 Rh 2.54
Rh (0.3749, 0.8752, 0.3749)  6 Rh 2.54
Rh (0.3749, 0.3749, 0.8752)  6 Rh 2.54
Pt (0.0000, 0.0000, 0.0000)  12 Rh 2.98, 4 Si 3.11
Si (0.7500, 0.7500, 0.7500)  12 Rh 2.98, 4 Pt 3.11
Rh (0.3749, 0.3749, 0.3749)  6 Rh 2.54

Summary:
- Space group: No. 216
- E: -6.39 eV/atom


# 4
## SiPtRh3 (PBE-GGA)

Data for a relaxed SiPtRh3 crystal.

abc: 4.3614 4.3614 4.3614
angles: 90.00 90.00 90.00
Closest atoms and distances in Å follow each position.
Atoms (fractional coordinates):
Pt (0.5000, 0.5000, 0.5000)  12 Rh 3.08
Si (0.0000, 0.0000, 0.0000)  6 Rh 2.18
Rh (0.0000, 0.0000, 0.5000)  2 Si 2.18
Rh (0.0000, 0.5000, 0.0000)  2 Si 2.18
Rh (0.5000, 0.0000, 0.0000)  2 Si 2.18

Summary:
- Relative energy among the computed polymorphs: 0 meV per atom
- Space group: No. 221
- E: -6.29 eV/atom


# 5
## SiPt4Rh (PBE-GGA)

Data for a relaxed SiPt4Rh crystal.

abc: 5.2368 5.2368 5.2368
angles: 60.00 60.00 60.00
Closest atoms and distances in Å follow each position.
Atoms (fractional coordinates):
Pt (0.8741, 0.3753, 0.3753)  6 Pt 2.61-2.62
Pt (0.3753, 0.3753, 0.8741)  6 Pt 2.61-2.62
Rh (0.7500, 0.7500, 0.7500)  12 Pt 3.07, 4 Si 3.21
Si (0.0000, 0.0000, 0.0000)  12 Pt 3.07, 4 Rh 3.21
Pt (0.3753, 0.8741, 0.3753)  6 Pt 2.61-2.62
Pt (0.3753, 0.3753, 0.3753)  6 Pt 2.61-2.62

Summary:
- Space group: No. 216
- E: -5.81 eV/atom


# 6
## Si3PtRh (PBE-GGA)

Data for a relaxed Si3PtRh crystal.

abc: 4.5397 4.5397 4.5397
angles: 90.00 90.00 90.00
Closest atoms and distances in Å follow each position.
Atoms (fractional coordinates):
Rh (0.0000, 0.0000, 0.0000)  6 Si 2.27
Si (0.0000, 0.0000, 0.5000)  2 Rh 2.27
Pt (0.5000, 0.5000, 0.5000)  12 Si 3.21
Si (0.5000, 0.0000, 0.0000)  2 Rh 2.27
Si (0.0000, 0.5000, 0.0000)  2 Rh 2.27

Summary:
- Relative energy among the computed polymorphs: 877 meV per atom
- Space group: No. 221
- E: -5.49 eV/atom


# 7
## SiPt3Rh (PBE-GGA)

Data for a relaxed SiPt3Rh crystal.

abc: 4.8103 4.8103 4.8103
angles: 90.00 90.00 90.00
Closest atoms and distances in Å follow each position.
Atoms (fractional coordinates):
Pt (0.5000, 0.0000, 0.0000)  2 Rh 2.41
Pt (0.0000, 0.5000, 0.0000)  2 Rh 2.41
Pt (0.0000, 0.0000, 0.5000)  2 Rh 2.41
Rh (0.0000, 0.0000, 0.0000)  6 Pt 2.41
Si (0.5000, 0.5000, 0.5000)  12 Pt 3.40

Summary:
- Relative energy among the computed polymorphs: 965 meV per atom
- Space group: No. 221
- E: -4.74 eV/atom


# 8
## Sm2Si3Pt4Rh (PBE-GGA)

Data for a relaxed Sm2Si3Pt4Rh crystal.

abc: 4.1555 4.1555 10.4814
angles: 90.00 90.00 90.00
Closest atoms and distances in Å follow each position.
Atoms (fractional coordinates):
Pt (0.5000, 0.5000, 0.0000)  4 Si 2.47
Rh (0.5000, 0.5000, 0.5000)  4 Pt 2.60
Pt (0.0000, 0.0000, 0.0000)  4 Si 2.47
Sm (0.0000, 0.5000, 0.7447)  8 Pt 3.10-3.39, 6 Si 3.23-3.30, 2 Rh 3.30
Pt (0.0000, 0.5000, 0.3507)  3 Si 2.33-2.60, 2 Rh 2.60
Si (0.5000, 0.0000, 0.8718)  5 Pt 2.33-2.47
Si (0.0000, 0.5000, 0.1282)  5 Pt 2.33-2.47
Si (0.0000, 0.0000, 0.5000)  4 Pt 2.60
Pt (0.5000, 0.0000, 0.6493)  3 Si 2.33-2.60, 2 Rh 2.60
Sm (0.5000, 0.0000, 0.2553)  8 Pt 3.10-3.39, 6 Si 3.23-3.30, 2 Rh 3.30

Summary:
- Space group: No. 115
- E: -6.68 eV/atom


Number 1: DOS at the Fermi energy 5.53 states/eV/f.u., calculated density 13.24 g/cm3, raw formation energy 0.473 eV/atom. Number 2: DOS at the Fermi energy 2.04 states/eV/f.u., calculated density 14.12 g/cm3, raw formation energy -0.687 eV/atom. Number 3: DOS at the Fermi energy 12.60 states/eV/f.u., calculated density 11.38 g/cm3, raw formation energy 0.421 eV/atom. Number 4: DOS at the Fermi energy 9.44 states/eV/f.u., calculated density 10.65 g/cm3, raw formation energy 0.417 eV/atom. Number 5: DOS at the Fermi energy 4.99 states/eV/f.u., calculated density 14.90 g/cm3, raw formation energy 0.343 eV/atom. Number 6: DOS at the Fermi energy 4.06 states/eV/f.u., calculated density 6.78 g/cm3, raw formation energy 0.439 eV/atom. Number 7: DOS at the Fermi energy 7.37 states/eV/f.u., calculated density 10.69 g/cm3, raw formation energy 1.439 eV/atom. Number 8: DOS at the Fermi energy 7.04 states/eV/f.u., calculated density 11.64 g/cm3, raw formation energy -0.959 eV/atom.